Record 1
# Ir2CI PBEsol relaxed
# Energy, eV per formula unit: -27.84
# Formation energy from raw total energies, kJ per mole of atoms: 77.6
data_Ir2CI
_chemical_formula_sum 'Ir8 C4 I4'
_cell_length_a 5.007
_cell_length_b 5.007
_cell_length_c 11.211
_cell_angle_alpha 90.00
_cell_angle_beta 90.00
_cell_angle_gamma 90.00
_space_group_name_H-M_alt 'I -4 2 d'
_space_group_IT_number 122
_space_group_name_Hall 'I -4 2bw'
loop_
_atom_site_label
_atom_site_fract_x
_atom_site_fract_y
_atom_site_fract_z
_atom_site_occupancy
Ir1 0.137 0.250 0.125 1
C1 0.000 0.000 0.000 1
I1 0.000 0.000 0.500 1

=====

Record 2
# InGa2Bi PBEsol relaxed
# DFT formation energy, eV/atom: 0.06
# Energy, eV per formula unit: -13.70
data_InGa2Bi
_chemical_formula_sum 'In4 Ga8 Bi4'
_cell_length_a 7.197
_cell_length_b 7.197
_cell_length_c 7.197
_cell_angle_alpha 90.00
_cell_angle_beta 90.00
_cell_angle_gamma 90.00
_space_group_name_H-M_alt 'F m -3 m'
_space_group_IT_number 225
_space_group_name_Hall '-F 4 2 3'
loop_
_atom_site_label
_atom_site_fract_x
_atom_site_fract_y
_atom_site_fract_z
_atom_site_occupancy
In1 0.000 0.000 0.000 1
Ga1 0.250 0.250 0.250 1
Bi1 0.000 0.000 0.500 1

=====

Record 3
# PmBeO3 PBEsol relaxed
# Energy, eV per formula unit: -37.65
# Formation energy from raw total energies, kJ per mole of atoms: -246.4
data_PmBeO3
_chemical_formula_sum 'Pm1 Be1 O3'
_cell_length_a 3.593
_cell_length_b 3.593
_cell_length_c 3.593
_cell_angle_alpha 90.00
_cell_angle_beta 90.00
_cell_angle_gamma 90.00
_space_group_name_H-M_alt 'P m -3 m'
_space_group_IT_number 221
_space_group_name_Hall '-P 4 2 3'
loop_
_atom_site_label
_atom_site_fract_x
_atom_site_fract_y
_atom_site_fract_z
_atom_site_occupancy
Pm1 0.000 0.000 0.000 1
Be1 0.500 0.500 0.500 1
O1 0.000 0.500 0.500 1

=====

Record 4
# CuAs3H PBEsol relaxed
# Energy, eV per formula unit: -17.40
data_CuAs3H
_chemical_formula_sum 'Cu1 As3 H1'
_cell_length_a 4.616
_cell_length_b 4.616
_cell_length_c 4.616
_cell_angle_alpha 90.00
_cell_angle_beta 90.00
_cell_angle_gamma 90.00
_space_group_name_H-M_alt 'P m -3 m'
_space_group_IT_number 221
_space_group_name_Hall '-P 4 2 3'
loop_
_atom_site_label
_atom_site_fract_x
_atom_site_fract_y
_atom_site_fract_z
_atom_site_occupancy
Cu1 0.000 0.000 0.000 1
As1 0.000 0.000 0.500 1
H1 0.500 0.500 0.500 1

=====

Record 5
# ZnPb2Se PBEsol relaxed
# ΔE to the lowest computed polymorph, meV per atom: 0.0
# Energy, eV per formula unit: -14.01
# Formation energy from raw total energies, kJ per mole of atoms: -14.0
data_ZnPb2Se
_chemical_formula_sum 'Zn3 Pb6 Se3'
_cell_length_a 3.7505
_cell_length_b 3.7505
_cell_length_c 24.6713
_cell_angle_alpha 90.00
_cell_angle_beta 90.00
_cell_angle_gamma 120.00
_space_group_name_H-M_alt 'R 3 m'
_space_group_IT_number 160
_space_group_name_Hall 'R 3 -2"'
loop_
_atom_site_label
_atom_site_fract_x
_atom_site_fract_y
_atom_site_fract_z
_atom_site_occupancy
Zn1 0.0000 0.0000 0.0000 1
Pb1 0.0000 0.0000 0.2481 1
Pb2 0.0000 0.0000 0.4771 1
Se1 0.0000 0.0000 0.7141 1

=====

Record 6
# NbHSN2 PBEsol relaxed
# ΔE to the lowest computed polymorph, meV per atom: 0.0
# Energy, eV per formula unit: -31.08
data_NbHSN2
_chemical_formula_sum 'Nb1 H1 S1 N2'
_cell_length_a 3.997
_cell_length_b 3.997
_cell_length_c 4.973
_cell_angle_alpha 90.00
_cell_angle_beta 90.00
_cell_angle_gamma 90.00
_space_group_name_H-M_alt 'P 4/m m m'
_space_group_IT_number 123
_space_group_name_Hall '-P 4 2'
loop_
_atom_site_label
_atom_site_fract_x
_atom_site_fract_y
_atom_site_fract_z
_atom_site_occupancy
Nb1 0.000 0.000 0.000 1
H1 0.500 0.500 0.500 1
S1 0.000 0.000 0.500 1
N1 0.000 0.500 0.000 1

=====

Record 7
# CaSn2Ru2 PBEsol relaxed
# DFT formation energy, eV/atom: -0.23
# Energy, eV per formula unit: -32.13
data_CaSn2Ru2
_chemical_formula_sum 'Ca2 Sn4 Ru4'
_cell_length_a 7.672
_cell_length_b 7.672
_cell_length_c 3.131
_cell_angle_alpha 90.00
_cell_angle_beta 90.00
_cell_angle_gamma 90.00
_space_group_name_H-M_alt 'P 4/m b m'
_space_group_IT_number 127
_space_group_name_Hall '-P 4 2ab'
loop_
_atom_site_label
_atom_site_fract_x
_atom_site_fract_y
_atom_site_fract_z
_atom_site_occupancy
Ca1 0.000 0.000 0.000 1
Sn1 0.154 0.346 0.500 1
Ru1 0.140 0.640 0.000 1

=====

Record 8
# TcOsSeBr2 PBEsol relaxed
# Energy, eV per formula unit: -24.57
# Formation energy from raw total energies, kJ per mole of atoms: 125.4
data_TcOsSeBr2
_chemical_formula_sum 'Tc1 Os1 Se1 Br2'
_cell_length_a 5.078
_cell_length_b 5.078
_cell_length_c 4.665
_cell_angle_alpha 90.00
_cell_angle_beta 90.00
_cell_angle_gamma 90.00
_space_group_name_H-M_alt 'P 4/m m m'
_space_group_IT_number 123
_space_group_name_Hall '-P 4 2'
loop_
_atom_site_label
_atom_site_fract_x
_atom_site_fract_y
_atom_site_fract_z
_atom_site_occupancy
Tc1 0.000 0.000 0.000 1
Os1 0.500 0.500 0.500 1
Se1 0.500 0.500 0.000 1
Br1 0.000 0.500 0.500 1

=====

| no. | V (Å³/f.u.) | spin magnetization (μB/f.u.) |
| --- | --- | --- |
| 1 | 70.3 | 0.0 |
| 2 | 93.2 | 0.0 |
| 3 | 46.4 | 1.0 |
| 4 | 98.3 | 0.3 |
| 5 | 100.2 | 0.0 |
| 6 | 79.4 | 1.7 |
| 7 | 92.1 | 0.0 |
| 8 | 120.3 | 4.8 |